# 1
A plane-wave DFT calculation with PBE was carried out for NdTlSe2 after structural relaxation.

abc: 8.275 8.275 8.275
angles: 30.21 30.21 30.21
Positions (direct):
Nd 0.000 0.000 0.000
Tl 0.170 0.170 0.170
Se 0.402 0.402 0.402
Se 0.596 0.596 0.596

total moment = 0.00 Bohr magnetons per cell
ρ = 6.62 g/cm³

***

# 2
A plane-wave DFT calculation with PBE was carried out for Nd4TlSe3 after structural relaxation.

abc: 7.471 7.471 7.471
angles: 131.76 131.76 70.61
Positions (direct):
Nd 0.000 0.500 0.500
Nd 0.244 0.244 0.000
Nd 0.500 0.000 0.500
Nd 0.756 0.756 0.000
Tl 0.500 0.500 0.000
Se 0.000 0.000 0.000
Se 0.250 0.750 0.500
Se 0.750 0.250 0.500

total moment = 0.00 Bohr magnetons per cell
ρ = 7.44 g/cm³

***

# 3
A plane-wave DFT calculation with PBE was carried out for Nd6TlSe5 after structural relaxation.

abc: 7.421 7.421 7.422
angles: 99.55 99.55 119.85
Positions (direct):
Nd 0.075 0.416 0.745
Nd 0.243 0.243 0.251
Nd 0.416 0.075 0.745
Nd 0.584 0.925 0.255
Nd 0.757 0.757 0.749
Nd 0.925 0.584 0.255
Tl 0.500 0.500 0.000
Se 0.000 0.000 0.500
Se 0.167 0.833 0.000
Se 0.336 0.664 0.500
Se 0.664 0.336 0.500
Se 0.833 0.167 0.000

total moment = 0.00 Bohr magnetons per cell
ρ = 7.27 g/cm³

***

Number 1: ΔE_f (raw) -1.356 eV/atom. Number 2: ΔE_f (raw) -1.484 eV/atom. Number 3: ΔE_f (raw) -1.591 eV/atom.